Below is an optimized crystal structure of La4DyEr, with properties calculated at the PBE level.

a b c (Å): 7.5986 7.5986 7.5986
angles (deg): 46.58 46.58 46.58
Last column: nearest neighbours and their distance in Å.
Sites, in units of the cell vectors:
La  0.1659  0.1659  0.1659  1 Er 3.37, 4 La 3.39-3.47, 3 Dy 3.47
La  0.3330  0.3330  0.3330  1 Dy 3.39, 4 La 3.39-3.47, 3 Er 3.47
La  0.6670  0.6670  0.6670  1 Dy 3.39, 4 La 3.39-3.47, 3 Er 3.47
La  0.8341  0.8341  0.8341  1 Er 3.37, 4 La 3.39-3.47, 3 Dy 3.47
Dy  0.5000  0.5000  0.5000  8 La 3.39-3.47
Er  0.0000  0.0000  0.0000  8 La 3.37-3.47

## Properties
The value obtained for the total energy is -4.47 eV/atom. Its space group is No. 166. The calculation puts the energy relative to the elements at 198 kJ/mol of formula units.

=====

Below is an optimized crystal structure of La8Dy5Er, with properties calculated at the PBE level.

a b c (Å): 8.6690 8.6690 8.6690
angles (deg): 110.86 110.86 106.72
Last column: nearest neighbours and their distance in Å.
Sites, in units of the cell vectors:
La  0.0779  0.3418  0.6015  5 Dy 3.46-3.72, 4 La 3.57-3.79
La  0.1662  0.4361  0.0951  4 Dy 3.23-3.57, 1 Er 3.24
La  0.3410  0.0711  0.9049  4 Dy 3.23-3.57, 1 Er 3.24
La  0.5236  0.9221  0.2640  5 Dy 3.46-3.72, 4 La 3.57-3.79
La  0.5639  0.6590  0.7300  4 Dy 3.23-3.57, 1 Er 3.24
La  0.6582  0.2596  0.7360  5 Dy 3.46-3.72, 4 La 3.57-3.79
La  0.7403  0.4764  0.3985  5 Dy 3.46-3.72, 4 La 3.57-3.79
La  0.9289  0.8338  0.2700  4 Dy 3.23-3.57, 1 Er 3.24
Dy  0.0318  0.7251  0.9027  8 La 3.39-3.72, 2 Dy 3.51
Dy  0.2749  0.1777  0.3067  8 La 3.39-3.72, 2 Dy 3.51
Dy  0.5000  0.5000  0.0000  8 La 3.23-3.46
Dy  0.8223  0.1290  0.0973  8 La 3.39-3.72, 2 Dy 3.51
Dy  0.8710  0.9682  0.6933  8 La 3.39-3.72, 2 Dy 3.51
Er  0.2500  0.7500  0.5000  4 La 3.24

## Properties
The value obtained for the total energy is -4.54 eV/atom. Its space group is No. 82. The calculation puts the energy relative to the elements at 336 kJ/mol of formula units.

=====

Below is an optimized crystal structure of LaDy4Er5, with properties calculated at the PBE level.

a b c (Å): 3.5471 6.6165 14.2067
angles (deg): 99.00 93.85 103.13
Last column: nearest neighbours and their distance in Å.
Sites, in units of the cell vectors:
La  0.0000  0.0000  0.0000  4 Dy 3.32-3.58, 2 Er 3.38, 2 La 3.55
Dy  0.1084  0.8037  0.2188  5 Dy 3.43-3.55, 5 Er 3.43-3.68, 1 La 3.58
Dy  0.2109  0.7320  0.8012  1 La 3.32, 4 Er 3.40-3.61, 5 Dy 3.43-3.55
Dy  0.7891  0.2680  0.1988  1 La 3.32, 4 Er 3.40-3.61, 5 Dy 3.43-3.55
Dy  0.8916  0.1963  0.7812  5 Dy 3.43-3.55, 5 Er 3.43-3.68, 1 La 3.58
Er  0.2064  0.8822  0.5829  3 Dy 3.40-3.63, 9 Er 3.44-3.62
Er  0.4972  0.4283  0.6119  4 Dy 3.43-3.62, 8 Er 3.46-3.62
Er  0.5000  0.5000  0.0000  2 La 3.38, 2 Er 3.55, 4 Dy 3.61-3.68
Er  0.5028  0.5717  0.3881  4 Dy 3.43-3.62, 8 Er 3.46-3.62
Er  0.7936  0.1178  0.4171  3 Dy 3.40-3.63, 9 Er 3.44-3.62

## Properties
The value obtained for the total energy is -4.55 eV/atom. Its space group is No. 2. The calculation puts the energy relative to the elements at 65 kJ/mol of formula units.

=====

Calculated density
In order: 6.956, 6.935, 8.463
Unit: Mg/m³